POs | PBE-GGA | relaxed

a b c (Å): 3.4650 3.4650 2.7891
angles (deg): 90.00 90.00 120.00
With the nearest neighbours (Å) after each atom.
Atoms (fractional coordinates):
P  0.0000  0.0000  0.0000  6 Os 2.44
Os  0.3333  0.6667  0.5000  6 P 2.44

## Properties
* total magnetic moment: 0.000 μB/f.u.
* calculated total energy: -16.5 eV/cell
* SG: No. 187



KBi2I | PBE-GGA | relaxed

a b c (Å): 8.2937 8.2937 8.2937
angles (deg): 90.00 90.00 90.00
With the nearest neighbours (Å) after each atom.
Atoms (fractional coordinates):
K  0.0000  0.0000  0.0000  8 Bi 3.59
K  0.0000  0.5000  0.5000  8 Bi 3.59
K  0.5000  0.0000  0.5000  8 Bi 3.59
K  0.5000  0.5000  0.0000  8 Bi 3.59
Bi  0.2500  0.2500  0.2500  4 K 3.59, 4 I 3.59
Bi  0.2500  0.2500  0.7500  4 K 3.59, 4 I 3.59
Bi  0.2500  0.7500  0.2500  4 K 3.59, 4 I 3.59
Bi  0.2500  0.7500  0.7500  4 K 3.59, 4 I 3.59
Bi  0.7500  0.2500  0.2500  4 K 3.59, 4 I 3.59
Bi  0.7500  0.2500  0.7500  4 K 3.59, 4 I 3.59
Bi  0.7500  0.7500  0.2500  4 K 3.59, 4 I 3.59
Bi  0.7500  0.7500  0.7500  4 K 3.59, 4 I 3.59
I  0.0000  0.0000  0.5000  8 Bi 3.59
I  0.0000  0.5000  0.0000  8 Bi 3.59
I  0.5000  0.0000  0.0000  8 Bi 3.59
I  0.5000  0.5000  0.5000  8 Bi 3.59

## Properties
* total magnetic moment: 0.000 μB/f.u.
* calculated total energy: -38.4 eV/cell
* energy above the lowest structure with this stoichiometry: 0.585 eV/atom
* SG: No. 225



Er12CdIn3 | PBE-GGA | relaxed

a b c (Å): 4.8029 4.8029 19.2313
angles (deg): 90.00 90.00 90.00
With the nearest neighbours (Å) after each atom.
Atoms (fractional coordinates):
Er  0.0000  0.0000  0.0000  4 Cd 3.40, 8 Er 3.40
Er  0.0000  0.0000  0.2502  4 In 3.40, 8 Er 3.40
Er  0.0000  0.0000  0.5000  8 Er 3.39, 4 In 3.40
Er  0.0000  0.0000  0.7498  4 In 3.40, 8 Er 3.40
Er  0.0000  0.5000  0.1253  2 In 3.39, 8 Er 3.40, 2 Cd 3.40
Er  0.0000  0.5000  0.3755  4 In 3.39-3.40, 8 Er 3.39-3.40
Er  0.0000  0.5000  0.6245  4 In 3.39-3.40, 8 Er 3.39-3.40
Er  0.0000  0.5000  0.8747  2 In 3.39, 8 Er 3.40, 2 Cd 3.40
Er  0.5000  0.0000  0.1253  2 In 3.39, 8 Er 3.40, 2 Cd 3.40
Er  0.5000  0.0000  0.3755  4 In 3.39-3.40, 8 Er 3.39-3.40
Er  0.5000  0.0000  0.6245  4 In 3.39-3.40, 8 Er 3.39-3.40
Er  0.5000  0.0000  0.8747  2 In 3.39, 8 Er 3.40, 2 Cd 3.40
Cd  0.5000  0.5000  0.0000  12 Er 3.40
In  0.5000  0.5000  0.2500  12 Er 3.39-3.40
In  0.5000  0.5000  0.5000  12 Er 3.39-3.40
In  0.5000  0.5000  0.7500  12 Er 3.39-3.40

## Properties
* total magnetic moment: 0.004 μB/f.u.
* calculated total energy: -67.4 eV/cell
* SG: No. 123



Y4Se5S | PBE-GGA | relaxed

a b c (Å): 9.1405 9.1405 8.2009
angles (deg): 105.12 105.12 25.79
With the nearest neighbours (Å) after each atom.
Atoms (fractional coordinates):
Y  0.0028  0.0028  0.2561  4 Se 2.74-2.87, 2 S 2.92
Y  0.3240  0.3240  0.8860  5 Se 2.79-2.90, 1 S 3.02
Y  0.6760  0.6760  0.1140  5 Se 2.79-2.90, 1 S 3.02
Y  0.9972  0.9972  0.7439  4 Se 2.74-2.87, 2 S 2.92
Se  0.1621  0.1621  0.3360  3 Y 2.74-2.79
Se  0.1621  0.1621  0.8560  4 Y 2.83-2.90
Se  0.5000  0.5000  0.5000  4 Y 2.87
Se  0.8379  0.8379  0.1440  4 Y 2.83-2.90
Se  0.8379  0.8379  0.6640  3 Y 2.74-2.79
S  0.5000  0.5000  0.0000  6 Y 2.92-3.02

## Properties
* total magnetic moment: 0.000 μB/f.u.
* calculated total energy: -65.9 eV/cell
* SG: No. 12



Mg4Rh3 | PBE-GGA | relaxed

a b c (Å): 5.2577 5.2577 5.0774
angles (deg): 90.00 90.00 120.00
With the nearest neighbours (Å) after each atom.
Atoms (fractional coordinates):
Mg  0.0000  0.0000  0.2433  2 Mg 2.47-2.61
Mg  0.0000  0.0000  0.7567  2 Mg 2.47-2.61
Mg  0.3333  0.6667  0.5000  6 Rh 2.96, 9 Mg 3.04-3.30
Mg  0.6667  0.3333  0.5000  6 Rh 2.96, 9 Mg 3.04-3.30
Rh  0.0000  0.5000  0.0000  4 Rh 2.63, 4 Mg 2.90
Rh  0.5000  0.0000  0.0000  4 Rh 2.63, 4 Mg 2.90
Rh  0.5000  0.5000  0.0000  4 Rh 2.63, 4 Mg 2.90

## Properties
* total magnetic moment: 0.682 μB/f.u.
* calculated total energy: -29.8 eV/cell
* energy above the lowest structure with this stoichiometry: 0.157 eV/atom
* SG: No. 191



BaLa2Cu | PBE-GGA | relaxed

a b c (Å): 7.8521 7.8521 7.8521
angles (deg): 90.00 90.00 90.00
With the nearest neighbours (Å) after each atom.
Atoms (fractional coordinates):
Ba  0.0000  0.0000  0.0000  8 La 3.40
Ba  0.0000  0.5000  0.5000  8 La 3.40
Ba  0.5000  0.0000  0.5000  8 La 3.40
Ba  0.5000  0.5000  0.0000  8 La 3.40
La  0.2500  0.2500  0.2500  4 Ba 3.40, 4 Cu 3.40
La  0.2500  0.2500  0.7500  4 Ba 3.40, 4 Cu 3.40
La  0.2500  0.7500  0.2500  4 Ba 3.40, 4 Cu 3.40
La  0.2500  0.7500  0.7500  4 Ba 3.40, 4 Cu 3.40
La  0.7500  0.2500  0.2500  4 Ba 3.40, 4 Cu 3.40
La  0.7500  0.2500  0.7500  4 Ba 3.40, 4 Cu 3.40
La  0.7500  0.7500  0.2500  4 Ba 3.40, 4 Cu 3.40
La  0.7500  0.7500  0.7500  4 Ba 3.40, 4 Cu 3.40
Cu  0.0000  0.0000  0.5000  8 La 3.40
Cu  0.0000  0.5000  0.0000  8 La 3.40
Cu  0.5000  0.0000  0.0000  8 La 3.40
Cu  0.5000  0.5000  0.5000  8 La 3.40

## Properties
* total magnetic moment: 0.000 μB/f.u.
* calculated total energy: -58.5 eV/cell
* energy above the lowest structure with this stoichiometry: 0.294 eV/atom
* SG: No. 225



TbHo2Mg | PBE-GGA | relaxed

a b c (Å): 7.1232 7.1296 9.9261
angles (deg): 90.00 110.95 90.00
With the nearest neighbours (Å) after each atom.
Atoms (fractional coordinates):
Tb  0.1308  0.0000  0.2617  4 Mg 3.35, 8 Ho 3.50-3.56
Tb  0.3692  0.5000  0.7383  4 Mg 3.35, 8 Ho 3.50-3.56
Tb  0.6308  0.5000  0.2617  4 Mg 3.35, 8 Ho 3.50-3.56
Tb  0.8692  0.0000  0.7383  4 Mg 3.35, 8 Ho 3.50-3.56
Ho  0.1320  0.5000  0.2639  4 Mg 3.34, 4 Ho 3.51, 4 Tb 3.56
Ho  0.2500  0.2500  0.0000  4 Tb 3.50, 8 Ho 3.51-3.56
Ho  0.2500  0.7500  0.0000  4 Tb 3.50, 8 Ho 3.51-3.56
Ho  0.3680  0.0000  0.7361  4 Mg 3.34, 4 Ho 3.51, 4 Tb 3.56
Ho  0.6320  0.0000  0.2639  4 Mg 3.34, 4 Ho 3.51, 4 Tb 3.56
Ho  0.7500  0.2500  0.0000  4 Tb 3.50, 8 Ho 3.51-3.56
Ho  0.7500  0.7500  0.0000  4 Tb 3.50, 8 Ho 3.51-3.56
Ho  0.8680  0.5000  0.7361  4 Mg 3.34, 4 Ho 3.51, 4 Tb 3.56
Mg  0.0000  0.2499  0.5000  4 Ho 3.34, 4 Tb 3.35, 4 Mg 3.56-3.57
Mg  0.0000  0.7501  0.5000  4 Ho 3.34, 4 Tb 3.35, 4 Mg 3.56-3.57
Mg  0.5000  0.2501  0.5000  4 Ho 3.34, 4 Tb 3.35, 4 Mg 3.56-3.57
Mg  0.5000  0.7499  0.5000  4 Ho 3.34, 4 Tb 3.35, 4 Mg 3.56-3.57

## Properties
* total magnetic moment: 0.000 μB/f.u.
* calculated total energy: -62.0 eV/cell
* energy above the lowest structure with this stoichiometry: 0.000 eV/atom
* SG: No. 12



NdDy3Th4As8 | PBE-GGA | relaxed

a b c (Å): 8.3923 8.3923 8.3923
angles (deg): 60.34 60.34 60.34
With the nearest neighbours (Å) after each atom.
Atoms (fractional coordinates):
Nd  0.0000  0.0000  0.0000  6 As 2.98
Dy  0.0000  0.5000  0.5000  6 As 2.95
Dy  0.5000  0.0000  0.5000  6 As 2.95
Dy  0.5000  0.5000  0.0000  6 As 2.95
Th  0.0000  0.0000  0.5000  6 As 3.00
Th  0.0000  0.5000  0.0000  6 As 3.00
Th  0.5000  0.0000  0.0000  6 As 3.00
Th  0.5000  0.5000  0.5000  6 As 2.97
As  0.2506  0.2506  0.7445  2 Dy 2.95, 3 Th 2.97-3.00, 1 Nd 2.98
As  0.2506  0.7445  0.2506  2 Dy 2.95, 3 Th 2.97-3.00, 1 Nd 2.98
As  0.2525  0.2525  0.2525  3 Dy 2.95, 3 Th 3.00
As  0.2555  0.7494  0.7494  2 Dy 2.95, 3 Th 2.97-3.00, 1 Nd 2.98
As  0.7445  0.2506  0.2506  2 Dy 2.95, 3 Th 2.97-3.00, 1 Nd 2.98
As  0.7475  0.7475  0.7475  3 Dy 2.95, 3 Th 3.00
As  0.7494  0.2555  0.7494  2 Dy 2.95, 3 Th 2.97-3.00, 1 Nd 2.98
As  0.7494  0.7494  0.2555  2 Dy 2.95, 3 Th 2.97-3.00, 1 Nd 2.98

## Properties
* total magnetic moment: 0.000 μB/f.u.
* calculated total energy: -108.9 eV/cell
* SG: No. 166